Below is a relaxed ScAl2Ru crystal, with properties calculated at the PBEsol level.

SG: No. 123
formation enthalpy at 0 K: -555 meV/atom

Cell: 3.044 3.044 6.906 Å, 90.00 90.00 90.00°
Last column: magnetic moment on the atom in μB.
Fractional positions:
Sc 0.500 0.500 0.500  0.26
Ru 0.500 0.500 0.000  0.02
Al 0.000 0.000 0.802  0.00
Al 0.000 0.000 0.198  0.00


Below is a relaxed ReAs2Br crystal, with properties calculated at the PBEsol level.

SG: No. 123
excess energy over the best structure of this formula in the dataset: 0.136 eV per atom
uncorrected formation energy: 1.113 eV/atom

Cell: 3.810 3.810 4.842 Å, 90.00 90.00 90.00°
Last column: magnetic moment on the atom in μB.
Fractional positions:
Re 0.000 0.000 0.500  0.54
As 0.000 0.500 0.000  -0.01
As 0.500 0.000 0.000  -0.01
Br 0.500 0.500 0.500  0.00


Below is a relaxed Li2HgRu crystal, with properties calculated at the PBEsol level.

SG: No. 25
formation enthalpy at 0 K: 178 meV/atom

Cell: 2.662 4.271 5.401 Å, 90.00 90.00 90.00°
Fractional positions:
Hg 0.500 0.500 0.743
Li 0.000 0.000 0.000
Li 0.500 0.500 0.261
Ru 0.000 0.000 0.495


Below is a relaxed MgTlNi4 crystal, with properties calculated at the PBEsol level.

SG: No. 216
formation enthalpy at 0 K: -40 meV/atom

Cell: 4.814 4.814 4.814 Å, 60.00 60.00 60.00°
Fractional positions:
Mg 0.000 0.000 0.000
Ni 0.375 0.375 0.375
Ni 0.375 0.375 0.876
Ni 0.876 0.375 0.375
Ni 0.375 0.876 0.375
Tl 0.750 0.750 0.750


| no. | electronic total energy (eV per formula unit) | total magnetization (Bohr magnetons per cell) |
| --- | --- | --- |
| 1 | -27.18 | 0.390 |
| 2 | -20.96 | 0.575 |
| 3 | -13.96 | 0.000 |
| 4 | -29.22 | 0.000 |